A geometry-optimized Tb3Sm3Tm structure, computed with PBE.

## Properties
The value obtained for the total DFT energy (no corrections) is -32.4 eV per formula unit. As for the space-group type: P6_3/m. Its excess energy over the best structure of this formula in the dataset is 0.0000 eV/atom. As for the formation energy: 1.67 kJ/mol of atoms. The density of states at the Fermi level is 25.2 states/eV per cell.

a b c (Å): 5.7316 9.6063 9.6062
angles (deg): 120.00 90.00 90.00
Element x y z (fractional)
Tb 0.7500 0.4770 0.3820
Sm 0.7500 0.0477 0.2409
Tb 0.2500 0.3820 0.9049
Tm 0.7500 0.3333 0.6666
Tb 0.7500 0.6180 0.0951
Sm 0.7500 0.1932 0.9522
Tb 0.2500 0.0950 0.4770
Sm 0.7500 0.7591 0.8069
Tb 0.7500 0.9050 0.5230
Tb 0.2500 0.5230 0.6180
Sm 0.2500 0.8068 0.0478
Sm 0.2500 0.9523 0.7591
Tm 0.2500 0.6667 0.3334
Sm 0.2500 0.2409 0.1931